Entry 1:
# Ta3SnS6

Ta3SnS6 after structural relaxation (GGA-PBE, Alexandria via LeMat-Bulk).

Properties
**SG**: P6_3/mcm
**Size of the total moment**: 0.000 μB per atom
**E**: -149.12 eV for the cell shown
**Formation energy without anion corrections**: -1.0233 eV per atom

Cell: 5.805 5.805 14.704 Å, 90.00 90.00 120.00°
Element x y z (fractional)
Ta1 0.000 0.000 0.250
Ta2 0.000 0.000 0.750
Ta3 0.333 0.667 0.250
Ta4 0.333 0.667 0.750
Ta5 0.667 0.333 0.250
Ta6 0.667 0.333 0.750
Sn1 0.000 0.000 0.000
Sn2 0.000 0.000 0.500
S1 0.000 0.336 0.144
S2 0.000 0.336 0.356
S3 0.000 0.664 0.644
S4 0.000 0.664 0.856
S5 0.336 0.000 0.144
S6 0.336 0.000 0.356
S7 0.336 0.336 0.644
S8 0.336 0.336 0.856
S9 0.664 0.000 0.644
S10 0.664 0.000 0.856
S11 0.664 0.664 0.144
S12 0.664 0.664 0.356

---

Entry 2:
# Ca7Pd2Au2

Ca7Pd2Au2 after structural relaxation (GGA-PBE, Alexandria via LeMat-Bulk).

Properties
**SG**: Imm2
**Size of the total moment**: 0.000 μB per atom
**E_form**: -0.620 eV/atom
**Energy above the lowest structure with this stoichiometry**: 0.0000 eV per atom
**E**: -37.77 eV for the cell shown

Cell: 9.297 9.297 9.297 Å, 153.75 67.98 118.56°
Element x y z (fractional)
Ca1 0.000 0.000 0.000
Ca2 0.290 0.407 0.884
Ca3 0.302 0.618 0.685
Ca4 0.523 0.407 0.116
Ca5 0.601 0.239 0.362
Ca6 0.877 0.239 0.638
Ca7 0.933 0.618 0.315
Pd1 0.154 0.917 0.237
Pd2 0.680 0.917 0.763
Au1 0.236 0.736 0.500
Au2 0.671 0.671 0.000

---

Entry 3:
# Cu2HgP

Cu2HgP after structural relaxation (GGA-PBE, Alexandria via LeMat-Bulk).

Properties
**SG**: F-43m
**Size of the total moment**: 0.000 μB per atom
**E_form**: 0.487 eV/atom
**E**: -11.96 eV for the cell shown

Cell: 4.485 4.485 4.485 Å, 60.00 60.00 60.00°
Element x y z (fractional)
Cu1 0.000 0.000 0.000
Cu2 0.250 0.250 0.250
Hg1 0.500 0.500 0.500
P1 0.750 0.750 0.750

---

Entry 4:
# Li2TaFe

Li2TaFe after structural relaxation (GGA-PBE, Alexandria via LeMat-Bulk).

Properties
**SG**: P-1
**Size of the total moment**: 0.000 μB per atom
**E_form**: 0.226 eV/atom
**Energy above the lowest structure with this stoichiometry**: 0.1667 eV per atom
**E**: -46.48 eV for the cell shown

Cell: 3.865 4.730 7.498 Å, 102.45 92.49 111.20°
Element x y z (fractional)
Li1 0.116 0.192 0.191
Li2 0.363 0.726 0.053
Li3 0.637 0.274 0.947
Li4 0.884 0.808 0.809
Ta1 0.165 0.332 0.602
Ta2 0.835 0.668 0.398
Fe1 0.398 0.894 0.616
Fe2 0.602 0.106 0.384

---

Entry 5:
# AcLaTb4Pm2

AcLaTb4Pm2 after structural relaxation (GGA-PBE, Alexandria via LeMat-Bulk).

Properties
**SG**: Pmmm
**Size of the total moment**: 0.000 μB per atom
**E_form**: 0.031 eV/atom
**E**: -73.61 eV for the cell shown

Cell: 7.371 7.373 10.205 Å, 90.00 90.00 90.00°
Element x y z (fractional)
Ac1 0.000 0.000 0.000
Ac2 0.000 0.500 0.500
La1 0.000 0.000 0.500
La2 0.500 0.000 0.500
Tb1 0.255 0.252 0.248
Tb2 0.255 0.252 0.752
Tb3 0.255 0.748 0.248
Tb4 0.255 0.748 0.752
Tb5 0.745 0.252 0.248
Tb6 0.745 0.252 0.752
Tb7 0.745 0.748 0.248
Tb8 0.745 0.748 0.752
Pm1 0.000 0.500 0.000
Pm2 0.500 0.000 0.000
Pm3 0.500 0.500 0.000
Pm4 0.500 0.500 0.500

---

Entry 6:
# DyTm2Te4

DyTm2Te4 after structural relaxation (GGA-PBE, Alexandria via LeMat-Bulk).

Properties
**SG**: Cmcm
**Size of the total moment**: 0.000 μB per atom
**Energy above the lowest structure with this stoichiometry**: 0.0480 eV per atom
**E**: -70.49 eV for the cell shown
**Formation energy without anion corrections**: -1.3044 eV per atom

Cell: 7.392 7.392 14.808 Å, 90.00 90.00 146.89°
Element x y z (fractional)
Dy1 0.128 0.872 0.750
Dy2 0.872 0.128 0.250
Tm1 0.369 0.631 0.570
Tm2 0.369 0.631 0.930
Tm3 0.631 0.369 0.070
Tm4 0.631 0.369 0.430
Te1 0.000 0.000 0.000
Te2 0.000 0.000 0.500
Te3 0.278 0.722 0.121
Te4 0.278 0.722 0.379
Te5 0.468 0.532 0.750
Te6 0.532 0.468 0.250
Te7 0.722 0.278 0.621
Te8 0.722 0.278 0.879

---

Entry 7:
# LiMgSi2

LiMgSi2 after structural relaxation (GGA-PBE, Alexandria via LeMat-Bulk).

Properties
**SG**: P2/m
**Size of the total moment**: 0.000 μB per atom
**E**: -14.49 eV for the cell shown
**Formation energy without anion corrections**: -0.0333 eV per atom

Cell: 2.780 4.064 5.550 Å, 90.00 90.48 90.00°
Element x y z (fractional)
Li1 0.000 0.000 0.000
Mg1 0.000 0.000 0.500
Si1 0.499 0.500 0.770
Si2 0.501 0.500 0.230

---

Entry 8:
# Er3InSe

Er3InSe after structural relaxation (GGA-PBE, Alexandria via LeMat-Bulk).

Properties
**SG**: P2_1/m
**Size of the total moment**: 0.000 μB per atom
**E**: -47.75 eV for the cell shown
**Formation energy without anion corrections**: -0.7923 eV per atom

Cell: 6.898 4.543 8.614 Å, 90.00 98.39 90.00°
Element x y z (fractional)
Er1 0.007 0.250 0.298
Er2 0.301 0.250 0.947
Er3 0.491 0.750 0.660
Er4 0.509 0.250 0.340
Er5 0.699 0.750 0.053
Er6 0.993 0.750 0.702
In1 0.243 0.750 0.171
In2 0.757 0.250 0.829
Se1 0.223 0.250 0.602
Se2 0.777 0.750 0.398

---

Entry 9:
# K3Ag2Br7

K3Ag2Br7 after structural relaxation (GGA-PBE, Alexandria via LeMat-Bulk).

Properties
**SG**: I4/mmm
**Size of the total moment**: 0.000 μB per atom
**E**: -32.50 eV for the cell shown
**Formation energy without anion corrections**: -0.9829 eV per atom

Cell: 14.017 14.017 14.017 Å, 157.66 157.66 31.81°
Element x y z (fractional)
K1 0.000 0.000 0.000
K2 0.178 0.178 0.000
K3 0.822 0.822 0.000
Ag1 0.400 0.400 0.000
Ag2 0.600 0.600 0.000
Br1 0.094 0.594 0.500
Br2 0.300 0.300 0.000
Br3 0.406 0.906 0.500
Br4 0.500 0.500 0.000
Br5 0.594 0.094 0.500
Br6 0.700 0.700 0.000
Br7 0.906 0.406 0.500

---

Entry 10:
# Tb3PrTe2

Tb3PrTe2 after structural relaxation (GGA-PBE, Alexandria via LeMat-Bulk).

Properties
**SG**: C2/m
**Size of the total moment**: 0.000 μB per atom
**E**: -59.80 eV for the cell shown
**Formation energy without anion corrections**: -0.8248 eV per atom

Cell: 9.425 9.425 10.832 Å, 112.54 112.54 24.28°
Element x y z (fractional)
Tb1 0.050 0.050 0.155
Tb2 0.308 0.308 0.634
Tb3 0.367 0.367 0.040
Tb4 0.633 0.633 0.960
Tb5 0.692 0.692 0.366
Tb6 0.950 0.950 0.845
Pr1 0.112 0.112 0.606
Pr2 0.888 0.888 0.394
Te1 0.249 0.249 0.185
Te2 0.486 0.486 0.654
Te3 0.514 0.514 0.346
Te4 0.751 0.751 0.815

---

Entry 11:
# SmCdTc2O8

SmCdTc2O8 after structural relaxation (GGA-PBE, Alexandria via LeMat-Bulk).

Properties
**SG**: I-4
**Size of the total moment**: 0.220 μB per atom
**E**: -86.74 eV for the cell shown
**Formation energy without anion corrections**: -1.7256 eV per atom

Cell: 6.862 6.862 6.862 Å, 134.99 134.99 65.55°
Element x y z (fractional)
Sm1 0.000 0.000 0.000
Cd1 0.250 0.750 0.500
Tc1 0.500 0.500 0.000
Tc2 0.750 0.250 0.500
O1 0.257 0.670 0.089
O2 0.330 0.419 0.587
O3 0.418 0.008 0.093
O4 0.581 0.168 0.911
O5 0.676 0.582 0.591
O6 0.832 0.743 0.413
O7 0.915 0.324 0.907
O8 0.992 0.085 0.409

---

Entry 12:
# Na2ZnIn

Na2ZnIn after structural relaxation (GGA-PBE, Alexandria via LeMat-Bulk).

Properties
**SG**: I-42d
**Size of the total moment**: 0.000 μB per atom
**E_form**: 0.120 eV/atom
**E**: -12.34 eV for the cell shown

Cell: 6.745 6.745 6.745 Å, 101.01 101.01 128.17°
Element x y z (fractional)
Na1 0.098 0.625 0.973
Na2 0.375 0.348 0.473
Na3 0.652 0.125 0.027
Na4 0.875 0.902 0.527
Zn1 0.000 0.000 0.000
Zn2 0.750 0.250 0.500
In1 0.250 0.750 0.500
In2 0.500 0.500 0.000